[1]
A geometry-optimized Co2Pt2Rh5 structure, computed with GGA-PBE.

a b c (Å): 3.8163 6.0553 6.0388
angles (deg): 107.41 108.42 90.00
Closest atoms and distances in Å follow each position.
Fractional coordinates of all 9 atoms:
Rh 0.2178 0.3318 0.4356  3 Co 2.66-2.73, 6 Rh 2.67-2.77, 3 Pt 2.68-2.75
Rh 0.7822 0.6682 0.5644  3 Co 2.66-2.73, 6 Rh 2.67-2.77, 3 Pt 2.68-2.75
Rh 0.0000 0.0000 0.0000  6 Rh 2.67, 2 Pt 2.70, 4 Co 2.71
Rh 0.6641 0.0036 0.3281  2 Co 2.67-2.71, 7 Rh 2.67-2.77, 3 Pt 2.73-2.75
Rh 0.3359 0.9964 0.6719  2 Co 2.67-2.71, 7 Rh 2.67-2.77, 3 Pt 2.73-2.75
Pt 0.1084 0.6637 0.2169  1 Pt 2.65, 7 Rh 2.68-2.75, 4 Co 2.68-2.69
Pt 0.8916 0.3363 0.7831  1 Pt 2.65, 7 Rh 2.68-2.75, 4 Co 2.68-2.69
Co 0.5563 0.3354 0.1125  7 Rh 2.66-2.73, 4 Pt 2.68-2.69, 1 Co 2.69
Co 0.4437 0.6646 0.8875  7 Rh 2.66-2.73, 4 Pt 2.68-2.69, 1 Co 2.69

## Properties
- Mass density: 13.5 g cm⁻³
- D(E_F): 14.03 states/eV/f.u.
- Energy of formation from the pure elements: 0.002 eV/atom
- E_tot: -7.0039 eV/atom

[2]
A geometry-optimized CoPt2Rh structure, computed with GGA-PBE.

a b c (Å): 2.7282 4.7424 5.1776
angles (deg): 64.10 105.28 90.00
Closest atoms and distances in Å follow each position.
Fractional coordinates of all 4 atoms:
Co 0.7519 0.0834 0.5038  7 Pt 2.68-2.78, 3 Rh 2.68-2.83, 2 Co 2.73
Pt 0.2482 0.5766 0.4965  4 Co 2.69-2.78, 3 Rh 2.69-2.74, 5 Pt 2.73-2.79
Pt 0.0068 0.1635 0.0135  3 Co 2.68-2.74, 5 Pt 2.73-2.79, 4 Rh 2.74
Rh 0.4931 0.6765 0.9862  3 Co 2.68-2.83, 7 Pt 2.69-2.74, 2 Rh 2.73

## Properties
- Mass density: 15.9 g cm⁻³
- D(E_F): 6.03 states/eV/f.u.
- Energy of formation from the pure elements: -0.011 eV/atom
- E_tot: -6.6457 eV/atom

[3]
A geometry-optimized CoPt8Rh6 structure, computed with GGA-PBE.

a b c (Å): 5.4123 7.2235 7.2235
angles (deg): 120.00 90.00 90.00
Closest atoms and distances in Å follow each position.
Fractional coordinates of all 15 atoms:
Pt 0.8717 0.3101 0.9760  1 Co 2.67, 4 Pt 2.68-2.81, 5 Rh 2.68-2.88
Pt 0.3397 0.6667 0.3333  6 Rh 2.60-2.67, 3 Pt 2.61
Pt 0.1111 0.9813 0.6556  4 Pt 2.61-2.81, 4 Rh 2.65-2.77
Pt 0.8717 0.0240 0.3341  1 Co 2.67, 4 Pt 2.68-2.81, 5 Rh 2.68-2.88
Pt 0.1111 0.3444 0.3257  4 Pt 2.61-2.81, 4 Rh 2.65-2.77
Pt 0.1111 0.6743 0.0187  4 Pt 2.61-2.81, 4 Rh 2.65-2.77
Pt 0.6195 0.3333 0.6667  6 Rh 2.61-2.72, 3 Pt 2.69
Pt 0.8717 0.6659 0.6899  1 Co 2.67, 4 Pt 2.68-2.81, 5 Rh 2.68-2.88
Rh 0.3672 0.6783 0.7080  1 Co 2.64, 7 Pt 2.65-2.95, 3 Rh 2.71-2.88
Rh 0.3672 0.2920 0.9703  1 Co 2.64, 7 Pt 2.65-2.95, 3 Rh 2.71-2.88
Rh 0.6199 0.3708 0.3259  1 Co 2.53, 6 Pt 2.60-2.78, 2 Rh 2.71-2.80
Rh 0.6199 0.9551 0.6292  1 Co 2.53, 6 Pt 2.60-2.78, 2 Rh 2.71-2.80
Rh 0.3672 0.0297 0.3217  1 Co 2.64, 7 Pt 2.65-2.95, 3 Rh 2.71-2.88
Rh 0.6199 0.6741 0.0449  1 Co 2.53, 6 Pt 2.60-2.78, 2 Rh 2.71-2.80
Co 0.6309 0.0000 0.0000  6 Rh 2.53-2.64, 3 Pt 2.67

## Properties
- Mass density: 15.2 g cm⁻³
- D(E_F): 26.48 states/eV/f.u.
- Energy of formation from the pure elements: 0.224 eV/atom
- E_tot: -6.4124 eV/atom
- Offset from the most stable computed form: 0.000 eV/atom